Entry 1:
## CuAu2Cl2 (meta-GGA SCAN)

Data for a crystal of CuAu2Cl2 relaxed with PBEsol.

Cell and atoms, written as POSCAR:
```
CuAu2Cl2
1.0
3.625 0.000 0.000
0.000 3.625 0.000
-1.812 -1.812 7.812
Au Cu Cl
2 1 2
Direct
0.250 0.750 0.500
0.750 0.250 0.500
0.000 0.000 0.000
0.411 0.411 0.822
0.589 0.589 0.178
```

=====

Entry 2:
## KNdO2 (meta-GGA SCAN)

Data for a crystal of KNdO2 relaxed with PBEsol.

Cell and atoms, written as POSCAR:
```
KNdO2
1.0
-0.201 3.052 1.885
-2.894 -2.104 -0.324
3.322 -6.159 10.326
K Nd O
2 2 4
Direct
0.333 0.667 0.750
0.667 0.333 0.250
0.000 0.000 0.500
0.000 0.000 0.000
0.333 0.667 0.096
0.333 0.667 0.404
0.667 0.333 0.904
0.667 0.333 0.596
```

=====

Entry 3:
## SbSeSCl2 (meta-GGA SCAN)

Data for a crystal of SbSeSCl2 relaxed with PBEsol.

Cell and atoms, written as POSCAR:
```
SbSeSCl2
1.0
-3.258 -2.939 -2.571
-1.711 -2.007 4.463
-3.594 3.724 0.297
Sb S Se Cl
1 1 1 2
Direct
0.000 0.000 0.000
0.500 0.000 0.000
0.500 0.500 0.500
0.000 0.000 0.500
0.000 0.500 0.000
```

=====

Entry 4:
## Cd3As2O8 (meta-GGA SCAN)

Data for a crystal of Cd3As2O8 relaxed with PBEsol.

Cell and atoms, written as POSCAR:
```
Cd3As2O8
1.0
-4.990 -1.197 4.224
-2.358 -6.083 -6.602
6.653 -8.496 5.452
Cd As O
12 8 32
Direct
0.368 0.645 0.308
0.132 0.355 0.808
0.632 0.355 0.692
0.868 0.645 0.192
0.165 0.282 0.421
0.335 0.718 0.921
0.835 0.718 0.579
0.665 0.282 0.079
0.655 0.051 0.383
0.845 0.949 0.883
0.345 0.949 0.617
0.155 0.051 0.117
0.686 0.393 0.413
0.814 0.607 0.913
0.314 0.607 0.587
0.186 0.393 0.087
0.108 0.920 0.364
0.392 0.080 0.864
0.892 0.080 0.636
0.608 0.920 0.136
0.751 0.471 0.540
0.749 0.529 0.040
0.249 0.529 0.460
0.251 0.471 0.960
0.479 0.262 0.423
0.021 0.738 0.923
0.521 0.738 0.577
0.979 0.262 0.077
0.862 0.290 0.366
0.638 0.710 0.866
0.138 0.710 0.634
0.362 0.290 0.134
0.653 0.525 0.318
0.847 0.475 0.818
0.347 0.475 0.682
0.153 0.525 0.182
0.887 0.882 0.438
0.613 0.118 0.938
0.113 0.118 0.562
0.387 0.882 0.062
0.833 0.918 0.066
0.667 0.082 0.566
0.167 0.082 0.934
0.333 0.918 0.434
0.600 0.080 0.205
0.900 0.920 0.705
0.400 0.920 0.795
0.100 0.080 0.295
0.624 0.789 0.236
0.876 0.211 0.736
0.376 0.211 0.764
0.124 0.789 0.264
```

=====

Entry 5:
## Zn2GeIrBr (meta-GGA SCAN)

Data for a crystal of Zn2GeIrBr relaxed with PBEsol.

Cell and atoms, written as POSCAR:
```
Zn2GeIrBr
1.0
4.742 0.000 0.000
0.000 4.742 0.000
0.000 0.000 5.029
Ge Ir Zn Br
1 1 2 1
Direct
0.500 0.500 0.500
0.000 0.000 0.000
0.000 0.500 0.000
0.500 0.000 0.000
0.000 0.000 0.500
```

=====

Entry 6:
## CsTaTeN2 (meta-GGA SCAN)

Data for a crystal of CsTaTeN2 relaxed with PBEsol.

Cell and atoms, written as POSCAR:
```
CsTaTeN2
1.0
-2.327 -0.575 3.448
0.457 -4.157 -0.385
5.380 0.251 3.672
Cs N Te Ta
1 2 1 1
Direct
0.000 0.000 0.000
0.000 0.500 0.000
0.500 0.000 0.000
0.000 0.000 0.500
0.500 0.500 0.500
```

=====

Across the entries above, total moment takes the values 0.00, 0.00, 2.75, 0.00, 0.00, 1.19 μB per formula unit, respectively.
Across the entries above, ΔE_f (raw) takes the values 143, -1111, 74, -1763, 344, 1326 kJ/mol of formula units, respectively.